No. 1
Computed, not measured: a relaxed structure of SmCo3B2 at the PBE level of DFT.

The structure in POSCAR format:
```
SmCo3B2
1.0
-3.2547 3.8046 0.7170
1.3453 -2.9436 3.8868
2.3032 1.8557 0.6082
B Co Sm
2 3 1
direct
0.6667 0.3334 0.0000
0.3334 0.6667 0.0000
0.5000 0.0000 0.5000
0.5000 0.5000 0.5000
0.0000 0.5000 0.5000
0.0000 0.0000 0.0000
```

Results
- M_tot (μB per cell) = 0.01
- electronic total energy (eV per atom) = -6.988

=====

No. 2
Computed, not measured: a relaxed structure of SmCo2B2 at the PBE level of DFT.

The structure in POSCAR format:
```
SmCo2B2
1.0
-3.5631 0.0000 0.0000
0.0000 -3.5631 0.0000
1.7816 1.7816 4.8694
B Co Sm
2 2 1
direct
0.6587 0.6587 0.3174
0.3413 0.3413 0.6826
0.7500 0.2500 0.5000
0.2500 0.7500 0.5000
0.0000 0.0000 0.0000
```

Results
- M_tot (μB per cell) = 0.01
- electronic total energy (eV per atom) = -6.975

=====

No. 3
Computed, not measured: a relaxed structure of SmCo4B at the PBE level of DFT.

The structure in POSCAR format:
```
SmCo4B
1.0
-0.4055 -4.7359 1.7419
3.7136 1.2020 -3.2236
4.0523 1.5877 5.2602
B Co Sm
2 8 2
direct
0.6667 0.3333 0.5000
0.3333 0.6667 0.5000
0.6667 0.3333 0.0000
0.3333 0.6667 0.0000
0.5000 0.0000 0.2893
0.0000 0.5000 0.2893
0.5000 0.5000 0.2893
0.5000 0.0000 0.7107
0.0000 0.5000 0.7107
0.5000 0.5000 0.7107
0.0000 0.0000 0.0000
0.0000 0.0000 0.5000
```

Results
- M_tot (μB per cell) = 7.05
- electronic total energy (eV per atom) = -6.887